A geometry-optimized Ba4TaTe structure. Source: the Alexandria database, functional GGA-PBE.

Computed properties:
- Raw formation energy: 0.78 eV/atom
- Theoretical density: 5.6 g/cm3
- D(E_F): 6.40 states/eV/f.u.

Cell: 7.121 7.121 7.121 Å, 60.00 60.00 60.00°
Fractional coordinates of all 6 atoms:
Ba  0.125  0.125  0.125
Ba  0.125  0.125  0.625
Ba  0.125  0.625  0.125
Ba  0.625  0.125  0.125
Ta  0.750  0.750  0.750
Te  0.500  0.500  0.500